[1]
## RbF (PBE)

Data for a relaxed RbF crystal.

The energy relative to the elements, uncorrected comes out at -2572 meV/atom. The value obtained for the total magnetization is 0.0425 μB per atom.

a b c (Å): 8.5274 8.5274 8.5274
angles (deg): 90.00 90.00 90.00
With the nearest neighbours (Å) after each atom.
Positions (direct):
1 Rb 0.3373 0.3373 0.3373  4 F 2.65-2.74
2 Rb 0.3373 0.6627 0.6627  4 F 2.65-2.74
3 Rb 0.6627 0.3373 0.6627  4 F 2.65-2.74
4 Rb 0.6627 0.6627 0.3373  4 F 2.65-2.74
5 Rb 0.8373 0.8373 0.8373  4 F 2.65-2.74
6 Rb 0.8373 0.1627 0.1627  4 F 2.65-2.74
7 Rb 0.1627 0.8373 0.1627  4 F 2.65-2.74
8 Rb 0.1627 0.1627 0.8373  4 F 2.65-2.74
9 F 0.1580 0.1580 0.1580  4 Rb 2.65-2.74
10 F 0.1580 0.8420 0.8420  4 Rb 2.65-2.74
11 F 0.8420 0.1580 0.8420  4 Rb 2.65-2.74
12 F 0.8420 0.8420 0.1580  4 Rb 2.65-2.74
13 F 0.6580 0.6580 0.6580  4 Rb 2.65-2.74
14 F 0.6580 0.3420 0.3420  4 Rb 2.65-2.74
15 F 0.3420 0.6580 0.3420  4 Rb 2.65-2.74
16 F 0.3420 0.3420 0.6580  4 Rb 2.65-2.74

[2]
## RbF6 (PBE)

Data for a relaxed RbF6 crystal.

The value obtained for the energy above the lowest structure with this stoichiometry is 0 meV/atom. The energy relative to the elements, uncorrected comes out at -568 meV/atom. The value obtained for the total magnetization is 0.7148 μB per atom.

a b c (Å): 6.8901 6.8901 5.0601
angles (deg): 90.00 90.00 90.00
With the nearest neighbours (Å) after each atom.
Positions (direct):
1 Rb 0.5000 0.0000 0.0000  8 F 2.91
2 Rb 0.0000 0.5000 0.0000  8 F 2.91
3 F 0.5000 0.5000 0.1853  1 F 1.87
4 F 0.0000 0.0000 0.1853  1 F 1.87
5 F 0.0000 0.0000 0.8147  1 F 1.87
6 F 0.5000 0.5000 0.8147  1 F 1.87
7 F 0.7500 0.7500 0.3156  1 F 1.87
8 F 0.2500 0.7500 0.3156  1 F 1.87
9 F 0.7500 0.2500 0.3156  1 F 1.87
10 F 0.2500 0.2500 0.3156  1 F 1.87
11 F 0.7500 0.7500 0.6844  1 F 1.87
12 F 0.2500 0.7500 0.6844  1 F 1.87
13 F 0.7500 0.2500 0.6844  1 F 1.87
14 F 0.2500 0.2500 0.6844  1 F 1.87

[3]
## RbF (PBE)

Data for a relaxed RbF crystal.

The energy relative to the elements, uncorrected comes out at -2568 meV/atom. The value obtained for the total magnetization is 0.0343 μB per atom.

a b c (Å): 3.4497 3.4497 3.4497
angles (deg): 90.00 90.00 90.00
With the nearest neighbours (Å) after each atom.
Positions (direct):
1 Rb 0.0000 0.0000 0.0000  8 F 2.99
2 F 0.5000 0.5000 0.5000  8 Rb 2.99